A relaxed Nd5Ho6Sc crystal, computed with GGA-PBE.

```
data_Nd5Ho6Sc
_chemical_formula_sum 'Nd10 Ho12 Sc2'
_space_group_name_H-M_alt 'C 1 2/m 1'
_space_group_IT_number 12
_space_group_name_Hall '-C 2y'
_cell_length_a 6.183
_cell_length_b 10.708
_cell_length_c 11.798
_cell_angle_alpha 90.00
_cell_angle_beta 100.04
_cell_angle_gamma 90.00
loop_
_atom_site_label
_atom_site_type_symbol
_atom_site_fract_x
_atom_site_fract_y
_atom_site_fract_z
Nd1 Nd 0.000 0.000 0.000
Nd2 Nd 0.000 0.166 0.500
Nd3 Nd 0.000 0.333 0.000
Ho1 Ho 0.248 0.335 0.747
Ho2 Ho 0.248 0.500 0.253
Sc1 Sc 0.000 0.500 0.500
```

Summary:
DFT formation energy ... 26 meV/atom
ΔE to the lowest computed polymorph ... 0 meV per atom
Magnetic moment ... 0.0000 μB/atom
Final energy ... -57.33 eV/f.u.
Fermi-level density of states ... 29.80 states/eV/cell

A relaxed Nd8Ho5Sc crystal, computed with GGA-PBE.

```
data_Nd8Ho5Sc
_chemical_formula_sum 'Nd16 Ho10 Sc2'
_space_group_name_H-M_alt 'C 1 2 1'
_space_group_IT_number 5
_space_group_name_Hall 'C 2y'
_cell_length_a 15.485
_cell_length_b 8.376
_cell_length_c 8.581
_cell_angle_alpha 90.00
_cell_angle_beta 121.39
_cell_angle_gamma 90.00
loop_
_atom_site_label
_atom_site_type_symbol
_atom_site_fract_x
_atom_site_fract_y
_atom_site_fract_z
Nd1 Nd 0.124 0.000 0.182
Nd2 Nd 0.169 0.400 0.212
Nd3 Nd 0.184 0.710 0.921
Nd4 Nd 0.186 0.220 0.569
Ho1 Ho 0.000 0.953 0.500
Ho2 Ho 0.049 0.305 0.770
Ho3 Ho 0.103 0.623 0.465
Sc1 Sc 0.000 0.661 0.000
```

Summary:
DFT formation energy ... 178 meV/atom
Magnetic moment ... 0.0000 μB/atom
Final energy ... -64.87 eV/f.u.
Fermi-level density of states ... 41.97 states/eV/cell

A relaxed Nd6Ho4Sc crystal, computed with GGA-PBE.

```
data_Nd6Ho4Sc
_chemical_formula_sum 'Nd12 Ho8 Sc2'
_space_group_name_H-M_alt 'I -4 2 m'
_space_group_IT_number 121
_space_group_name_Hall 'I -4 2'
_cell_length_a 8.134
_cell_length_b 8.134
_cell_length_c 12.097
_cell_angle_alpha 90.00
_cell_angle_beta 90.00
_cell_angle_gamma 90.00
loop_
_atom_site_label
_atom_site_type_symbol
_atom_site_fract_x
_atom_site_fract_y
_atom_site_fract_z
Nd1 Nd 0.000 0.500 0.000
Nd2 Nd 0.178 0.178 0.224
Ho1 Ho 0.169 0.169 0.938
Sc1 Sc 0.000 0.000 0.500
```

Summary:
DFT formation energy ... 479 meV/atom
ΔE to the lowest computed polymorph ... 354 meV per atom
Magnetic moment ... 0.2012 μB/atom
Final energy ... -47.98 eV/f.u.
Fermi-level density of states ... 37.87 states/eV/cell

A relaxed Nd2Ho5Sc crystal, computed with GGA-PBE.

```
data_Nd2Ho5Sc
_chemical_formula_sum 'Nd4 Ho10 Sc2'
_space_group_name_H-M_alt 'P b a m'
_space_group_IT_number 55
_space_group_name_Hall '-P 2 2ab'
_cell_length_a 7.067
_cell_length_b 14.140
_cell_length_c 4.982
_cell_angle_alpha 90.00
_cell_angle_beta 90.00
_cell_angle_gamma 90.00
loop_
_atom_site_label
_atom_site_type_symbol
_atom_site_fract_x
_atom_site_fract_y
_atom_site_fract_z
Nd1 Nd 0.246 0.124 0.000
Ho1 Ho 0.000 0.500 0.500
Ho2 Ho 0.004 0.752 0.500
Ho3 Ho 0.248 0.376 0.000
Sc1 Sc 0.000 0.000 0.500
```

Summary:
DFT formation energy ... 35 meV/atom
Magnetic moment ... 0.0000 μB/atom
Final energy ... -38.48 eV/f.u.
Fermi-level density of states ... 23.63 states/eV/cell

Look up the final energy of the fourth one.
-38.48 eV/f.u.